The following is a DFT calculation (PBE) of a relaxed structure of TlB2O2.

## Properties
energy relative to the elements, uncorrected	0.614	eV per atom
energy above the most stable polymorph in this dataset	0	meV/atom
SG	I4/mmm (139)
density	8.464	Mg/m³

Geometry as CIF:
```
data_TlB2O2
_cell_length_a 3.704
_cell_length_b 3.704
_cell_length_c 7.379
_cell_angle_alpha 90.00
_cell_angle_beta 90.00
_cell_angle_gamma 90.00
_symmetry_space_group_name_H-M 'P 1'
_symmetry_Int_Tables_number 1
_symmetry_space_group_name_Hall 'P 1'
loop_
_atom_site_label
_atom_site_type_symbol
_atom_site_fract_x
_atom_site_fract_y
_atom_site_fract_z
Tl1 Tl 0.000 0.000 0.000
Tl2 Tl 0.500 0.500 0.500
B1 B 0.000 0.000 0.371
B2 B 0.000 0.000 0.629
B3 B 0.500 0.500 0.129
B4 B 0.500 0.500 0.871
O1 O 0.000 0.500 0.250
O2 O 0.000 0.500 0.750
O3 O 0.500 0.000 0.250
O4 O 0.500 0.000 0.750
```

The following is a DFT calculation (PBE) of a relaxed structure of TlBO3.

## Properties
energy relative to the elements, uncorrected	1.239	eV per atom
SG	Pm-3m (221)
density	5.932	Mg/m³

Geometry as CIF:
```
data_TlBO3
_cell_length_a 4.192
_cell_length_b 4.192
_cell_length_c 4.192
_cell_angle_alpha 90.00
_cell_angle_beta 90.00
_cell_angle_gamma 90.00
_symmetry_space_group_name_H-M 'P 1'
_symmetry_Int_Tables_number 1
_symmetry_space_group_name_Hall 'P 1'
loop_
_atom_site_label
_atom_site_type_symbol
_atom_site_fract_x
_atom_site_fract_y
_atom_site_fract_z
Tl1 Tl 0.000 0.000 0.000
B1 B 0.500 0.500 0.500
O1 O 0.000 0.000 0.500
O2 O 0.000 0.500 0.000
O3 O 0.500 0.000 0.000
```

The following is a DFT calculation (PBE) of a relaxed structure of Tl4B8O17.

## Properties
energy relative to the elements, uncorrected	-1.855	eV per atom
SG	P-1 (2)
density	4.684	Mg/m³

Geometry as CIF:
```
data_Tl4B8O17
_cell_length_a 6.929
_cell_length_b 9.390
_cell_length_c 13.018
_cell_angle_alpha 80.68
_cell_angle_beta 86.07
_cell_angle_gamma 88.70
_symmetry_space_group_name_H-M 'P 1'
_symmetry_Int_Tables_number 1
_symmetry_space_group_name_Hall 'P 1'
loop_
_atom_site_label
_atom_site_type_symbol
_atom_site_fract_x
_atom_site_fract_y
_atom_site_fract_z
Tl1 Tl 0.086 0.469 0.164
Tl2 Tl 0.202 0.631 0.451
Tl3 Tl 0.398 0.223 0.072
Tl4 Tl 0.413 0.072 0.676
Tl5 Tl 0.587 0.928 0.324
Tl6 Tl 0.602 0.777 0.928
Tl7 Tl 0.798 0.369 0.549
Tl8 Tl 0.914 0.531 0.836
B1 B 0.064 0.897 0.709
B2 B 0.203 0.957 0.221
B3 B 0.268 0.197 0.299
B4 B 0.273 0.391 0.776
B5 B 0.306 0.876 0.051
B6 B 0.391 0.714 0.214
B7 B 0.424 0.266 0.448
B8 B 0.460 0.441 0.280
B9 B 0.540 0.559 0.720
B10 B 0.576 0.734 0.552
B11 B 0.609 0.286 0.786
B12 B 0.694 0.124 0.949
B13 B 0.727 0.609 0.224
B14 B 0.732 0.803 0.701
B15 B 0.797 0.043 0.779
B16 B 0.936 0.103 0.291
O1 O 0.008 0.975 0.265
O2 O 0.056 0.221 0.290
O3 O 0.077 0.368 0.784
O4 O 0.176 0.369 0.037
O5 O 0.214 0.976 0.104
O6 O 0.256 0.884 0.678
O7 O 0.295 0.823 0.269
O8 O 0.320 0.168 0.407
O9 O 0.326 0.569 0.260
O10 O 0.333 0.075 0.244
O11 O 0.349 0.525 0.773
O12 O 0.360 0.910 0.945
O13 O 0.362 0.741 0.101
O14 O 0.366 0.325 0.236
O15 O 0.395 0.271 0.771
O16 O 0.472 0.400 0.393
O17 O 0.486 0.238 0.547
O18 O 0.514 0.762 0.453
O19 O 0.528 0.600 0.607
O20 O 0.605 0.729 0.229
O21 O 0.634 0.675 0.764
O22 O 0.638 0.259 0.899
O23 O 0.640 0.090 0.055
O24 O 0.651 0.475 0.227
O25 O 0.667 0.925 0.756
O26 O 0.674 0.431 0.740
O27 O 0.680 0.832 0.593
O28 O 0.705 0.177 0.731
O29 O 0.744 0.116 0.322
O30 O 0.786 0.024 0.896
O31 O 0.824 0.631 0.963
O32 O 0.923 0.632 0.216
O33 O 0.944 0.779 0.710
O34 O 0.992 0.025 0.735
```

The following is a DFT calculation (PBE) of a relaxed structure of Tl8B3O8.

## Properties
energy relative to the elements, uncorrected	-1.240	eV per atom
SG	C2/m (12)
density	7.226	Mg/m³

Geometry as CIF:
```
data_Tl8B3O8
_cell_length_a 9.601
_cell_length_b 9.601
_cell_length_c 7.856
_cell_angle_alpha 98.96
_cell_angle_beta 98.96
_cell_angle_gamma 35.28
_symmetry_space_group_name_H-M 'P 1'
_symmetry_Int_Tables_number 1
_symmetry_space_group_name_Hall 'P 1'
loop_
_atom_site_label
_atom_site_type_symbol
_atom_site_fract_x
_atom_site_fract_y
_atom_site_fract_z
Tl1 Tl 0.048 0.048 0.289
Tl2 Tl 0.199 0.199 0.812
Tl3 Tl 0.322 0.322 0.509
Tl4 Tl 0.393 0.393 0.020
Tl5 Tl 0.607 0.607 0.980
Tl6 Tl 0.678 0.678 0.491
Tl7 Tl 0.801 0.801 0.188
Tl8 Tl 0.952 0.952 0.711
B1 B 0.200 0.200 0.192
B2 B 0.500 0.500 0.500
B3 B 0.800 0.800 0.808
O1 O 0.135 0.135 0.068
O2 O 0.192 0.192 0.366
O3 O 0.269 0.269 0.141
O4 O 0.493 0.493 0.336
O5 O 0.507 0.507 0.664
O6 O 0.731 0.731 0.859
O7 O 0.808 0.808 0.634
O8 O 0.865 0.865 0.932
```

What did the first record say?
The following is a DFT calculation (PBE) of a relaxed structure of TlB2O2.

## Properties
energy relative to the elements, uncorrected	0.614	eV per atom
energy above the most stable polymorph in this dataset	0	meV/atom
SG	I4/mmm (139)
density	8.464	Mg/m³

Geometry as CIF:
```
data_TlB2O2
_cell_length_a 3.704
_cell_length_b 3.704
_cell_length_c 7.379
_cell_angle_alpha 90.00
_cell_angle_beta 90.00
_cell_angle_gamma 90.00
_symmetry_space_group_name_H-M 'P 1'
_symmetry_Int_Tables_number 1
_symmetry_space_group_name_Hall 'P 1'
loop_
_atom_site_label
_atom_site_type_symbol
_atom_site_fract_x
_atom_site_fract_y
_atom_site_fract_z
Tl1 Tl 0.000 0.000 0.000
Tl2 Tl 0.500 0.500 0.500
B1 B 0.000 0.000 0.371
B2 B 0.000 0.000 0.629
B3 B 0.500 0.500 0.129
B4 B 0.500 0.500 0.871
O1 O 0.000 0.500 0.250
O2 O 0.000 0.500 0.750
O3 O 0.500 0.000 0.250
O4 O 0.500 0.000 0.750
```